Entry 1:
Below is a relaxed KH3N crystal, with properties calculated at the PBE level.

Summary:
Fermi-level density of states, states/eV/f.u.: 0.76
Energy above the lowest structure with this stoichiometry, meV/atom: 1030
Crystal system: cubic
Calculated volume, Å³ per atom: 7.89

Cell lengths 3.4046, 3.4046, 3.4046 Å; angles 90.00, 90.00, 90.00 degrees
Last column: nearest neighbours and their distance in Å.
Fractional positions:
H1 0.0000 0.5000 0.0000  2 N 1.70
H2 0.0000 0.0000 0.5000  2 N 1.70
H3 0.5000 0.0000 0.0000  2 N 1.70
K1 0.5000 0.5000 0.5000  12 H 2.41
N1 0.0000 0.0000 0.0000  6 H 1.70


Entry 2:
Below is a relaxed Ac5La4Tl crystal, with properties calculated at the PBE level.

Summary:
Fermi-level density of states, states/eV/f.u.: 19.85
Formation enthalpy at 0 K, kJ per mole of atoms: 2.1
Crystal system: tetragonal
Calculated volume, Å³ per atom: 39.60

Cell lengths 4.4887, 4.4887, 19.6518 Å; angles 90.00, 90.00, 90.00 degrees
Last column: nearest neighbours and their distance in Å.
Fractional positions:
Ac1 0.5000 0.5000 0.0904  1 Ac 3.55, 4 Tl 3.64, 4 La 3.84
Ac2 0.5000 0.5000 0.2994  8 La 3.70-3.73, 2 Ac 3.94-4.11
Ac3 0.5000 0.5000 0.5000  8 La 3.77, 2 Ac 3.94
Ac4 0.5000 0.5000 0.7006  8 La 3.70-3.73, 2 Ac 3.94-4.11
Ac5 0.5000 0.5000 0.9096  1 Ac 3.55, 4 Tl 3.64, 4 La 3.84
La1 0.0000 0.0000 0.2002  8 Ac 3.73-3.84, 1 La 3.86, 1 Tl 3.93
La2 0.0000 0.0000 0.3965  8 Ac 3.70-3.77, 2 La 3.86-4.07
La3 0.0000 0.0000 0.6035  8 Ac 3.70-3.77, 2 La 3.86-4.07
La4 0.0000 0.0000 0.7998  8 Ac 3.73-3.84, 1 La 3.86, 1 Tl 3.93
Tl1 0.0000 0.0000 0.0000  8 Ac 3.64, 2 La 3.93


Entry 3:
Below is a relaxed YTh3Sc crystal, with properties calculated at the PBE level.

Summary:
Fermi-level density of states, states/eV/f.u.: 7.97
Formation enthalpy at 0 K, kJ per mole of atoms: 5.1
Crystal system: triclinic
Calculated volume, Å³ per atom: 30.68

Cell lengths 6.1086, 6.9791, 11.5887 Å; angles 138.35, 110.71, 73.05 degrees
Last column: nearest neighbours and their distance in Å.
Fractional positions:
Y1 0.5922 0.3576 0.1996  9 Th 3.46-3.59, 2 Sc 3.48-3.51, 1 Y 3.56
Y2 0.4078 0.6424 0.8004  9 Th 3.46-3.59, 2 Sc 3.48-3.51, 1 Y 3.56
Th1 0.0041 0.7512 0.0058  7 Th 3.42-3.56, 2 Sc 3.48-3.56, 3 Y 3.51-3.59
Th2 0.9959 0.2488 0.9942  7 Th 3.42-3.56, 2 Sc 3.48-3.56, 3 Y 3.51-3.59
Th3 0.3955 0.1423 0.7938  3 Sc 3.42-3.56, 3 Y 3.46-3.52, 6 Th 3.50-3.63
Th4 0.6045 0.8577 0.2062  3 Sc 3.42-3.56, 3 Y 3.46-3.52, 6 Th 3.50-3.63
Th5 0.1926 0.4477 0.3982  6 Th 3.46-3.60, 3 Sc 3.47-3.51, 3 Y 3.52-3.54
Th6 0.8074 0.5523 0.6018  6 Th 3.46-3.60, 3 Sc 3.47-3.51, 3 Y 3.52-3.54
Sc1 0.8015 0.0487 0.5959  8 Th 3.42-3.56, 2 Sc 3.45-3.52, 2 Y 3.48-3.51
Sc2 0.1985 0.9513 0.4041  8 Th 3.42-3.56, 2 Sc 3.45-3.52, 2 Y 3.48-3.51


Entry 4:
Below is a relaxed Ge4Te2P crystal, with properties calculated at the PBE level.

Summary:
Fermi-level density of states, states/eV/f.u.: 2.19
Crystal system: tetragonal
Calculated volume, Å³ per atom: 26.04
Formation energy from raw total energies, eV/f.u.: 2.47

Cell lengths 4.8300, 4.8300, 8.5283 Å; angles 73.55, 73.55, 90.00 degrees
Last column: nearest neighbours and their distance in Å.
Fractional positions:
P1 0.0000 0.0000 0.0000  6 Ge 2.42-2.49
Ge1 0.8405 0.8405 0.3189  1 P 2.49
Ge2 0.1595 0.1595 0.6811  1 P 2.49
Ge3 0.0000 0.5000 0.0000  2 P 2.42
Ge4 0.5000 0.0000 0.0000  2 P 2.42
Te1 0.6333 0.6333 0.7334  9 Ge 3.19-3.44
Te2 0.3667 0.3667 0.2666  9 Ge 3.19-3.44


Entry 5:
Below is a relaxed MoOs3Ru6 crystal, with properties calculated at the PBE level.

Summary:
Fermi-level density of states, states/eV/f.u.: 11.89
Formation enthalpy at 0 K, kJ per mole of atoms: 51.0
Crystal system: monoclinic
Calculated volume, Å³ per atom: 15.51

Cell lengths 5.2405, 7.6775, 7.7096 Å; angles 90.00, 90.20, 90.00 degrees
Last column: nearest neighbours and their distance in Å.
Fractional positions:
Mo1 0.5000 0.5000 0.5000  4 Ru 2.58-2.79, 2 Os 2.59
Mo2 0.0000 0.0000 0.0000  4 Ru 2.58-2.79, 2 Os 2.59
Os1 0.2729 0.1228 0.7487  3 Ru 2.38-2.65, 1 Os 2.57, 1 Mo 2.59
Os2 0.5000 0.5000 0.0000  2 Os 2.57, 4 Ru 2.59-2.77
Os3 0.7271 0.8772 0.2513  3 Ru 2.38-2.65, 1 Os 2.57, 1 Mo 2.59
Os4 0.7729 0.3772 0.2487  3 Ru 2.38-2.65, 1 Os 2.57, 1 Mo 2.59
Os5 0.0000 0.0000 0.5000  2 Os 2.57, 4 Ru 2.59-2.77
Os6 0.2271 0.6228 0.7513  3 Ru 2.38-2.65, 1 Os 2.57, 1 Mo 2.59
Ru1 0.5008 0.8533 0.9253  5 Ru 2.53-2.78, 4 Os 2.64-2.78
Ru2 0.4967 0.8547 0.5765  5 Ru 2.52-2.78, 3 Os 2.65-2.79, 1 Mo 2.79
Ru3 0.2730 0.8749 0.2500  2 Os 2.38-2.59, 1 Mo 2.58, 2 Ru 2.63-2.64
Ru4 0.7270 0.1251 0.7500  2 Os 2.38-2.59, 1 Mo 2.58, 2 Ru 2.63-2.64
Ru5 0.5033 0.1453 0.4235  5 Ru 2.52-2.78, 3 Os 2.65-2.79, 1 Mo 2.79
Ru6 0.4992 0.1467 0.0747  5 Ru 2.53-2.78, 4 Os 2.64-2.78
Ru7 0.0008 0.6467 0.4253  5 Ru 2.53-2.78, 4 Os 2.64-2.78
Ru8 0.9967 0.6453 0.0765  5 Ru 2.52-2.78, 3 Os 2.65-2.79, 1 Mo 2.79
Ru9 0.7730 0.6251 0.7500  2 Os 2.38-2.59, 1 Mo 2.58, 2 Ru 2.63-2.64
Ru10 0.2270 0.3749 0.2500  2 Os 2.38-2.59, 1 Mo 2.58, 2 Ru 2.63-2.64
Ru11 0.0033 0.3547 0.9235  5 Ru 2.52-2.78, 3 Os 2.65-2.79, 1 Mo 2.79
Ru12 0.9992 0.3533 0.5747  5 Ru 2.53-2.78, 4 Os 2.64-2.78


Entry 6:
Below is a relaxed Pr3Zn8Cd crystal, with properties calculated at the PBE level.

Summary:
Fermi-level density of states, states/eV/f.u.: 5.75
Formation enthalpy at 0 K, kJ per mole of atoms: -24.7
Crystal system: trigonal
Calculated volume, Å³ per atom: 20.30

Cell lengths 5.5648, 5.5648, 9.6330 Å; angles 73.21, 73.21, 60.00 degrees
Last column: nearest neighbours and their distance in Å.
Fractional positions:
Pr1 0.3772 0.3772 0.8685  12 Zn 3.23-3.31, 4 Pr 3.46-3.49
Pr2 0.9942 0.9942 0.0174  12 Zn 3.17-3.40, 1 Cd 3.35, 3 Pr 3.49
Pr3 0.5041 0.5041 0.4877  12 Zn 3.17-3.32, 3 Cd 3.34, 1 Pr 3.46
Zn1 0.9348 0.4398 0.1856  6 Zn 2.75-2.82
Zn2 0.4340 0.9395 0.6870  6 Zn 2.75-2.81
Zn3 0.4398 0.4398 0.1856  6 Zn 2.75-2.82
Zn4 0.9395 0.9395 0.6870  6 Zn 2.75-2.81
Zn5 0.1869 0.1869 0.4392  6 Zn 2.75-2.82
Zn6 0.6891 0.6891 0.9328  6 Zn 2.76-2.79
Zn7 0.4398 0.9348 0.1856  6 Zn 2.75-2.82
Zn8 0.9395 0.4340 0.6870  6 Zn 2.75-2.81
Cd1 0.8711 0.8711 0.3867  12 Zn 3.17-3.33, 4 Pr 3.34-3.35